No. 1
The following is a GGA-PBE calculation of a geometry-optimized Hf2BeRe structure, from Alexandria via LeMat-Bulk.

a = 2.9696 Å, b = 2.9696 Å, c = 27.6392 Å
α = 90.00°, β = 90.00°, γ = 120.00°
Space group R-3m (No. 166, hexagonal axes)
Inequivalent atoms, fractional coordinates:
Hf 0.0000 0.0000 0.0946 x6
Be 0.0000 0.0000 0.5000 x3
Re 0.0000 0.0000 0.0000 x3

Values from the calculation:
As for the crystal system: trigonal. For the total energy, the calculation gives -8.496 eV per atom. The calculation puts the formation energy at 0.5248 eV/atom.

---

No. 2
The following is a GGA-PBE calculation of a geometry-optimized In3RuCl structure, from Alexandria via LeMat-Bulk.

a = 5.386 Å, b = 5.386 Å, c = 5.386 Å
α = 90.00°, β = 90.00°, γ = 90.00°
Space group Pm-3m (No. 221)
Inequivalent atoms, fractional coordinates:
In 0.000 0.000 0.500 x3
Ru 0.500 0.500 0.500 x1
Cl 0.000 0.000 0.000 x1

Values from the calculation:
The energy relative to the lowest polymorph listed for this composition comes out at 1151 meV per atom. As for the crystal system: cubic. For the uncorrected formation energy, the calculation gives 949 meV/atom. For the total energy, the calculation gives -2.919 eV per atom.

---

No. 3
The following is a GGA-PBE calculation of a geometry-optimized LiGdErCd structure, from Alexandria via LeMat-Bulk.

a = 7.443 Å, b = 7.443 Å, c = 7.443 Å
α = 90.00°, β = 90.00°, γ = 90.00°
Space group F-43m (No. 216)
Inequivalent atoms, fractional coordinates:
Li 0.000 0.000 0.000 x4
Gd 0.250 0.250 0.250 x4
Er 0.250 0.250 0.750 x4
Cd 0.000 0.000 0.500 x4

Values from the calculation:
As for the crystal system: cubic. For the total energy, the calculation gives -5.489 eV per atom. The calculation puts the formation energy at -0.1208 eV/atom.